BaSm2Zn6 | PBE | relaxed

Unit cell a=8.080 b=8.080 c=3.674 alpha=90.00 beta=90.00 gamma=120.00
Atoms (fractional coordinates):
Ba (0.000, 0.000, 0.000)
Sm (0.333, 0.667, 0.000)
Sm (0.667, 0.333, 0.000)
Zn (0.000, 0.343, 0.500)
Zn (0.000, 0.657, 0.500)
Zn (0.343, 0.000, 0.500)
Zn (0.343, 0.343, 0.500)
Zn (0.657, 0.000, 0.500)
Zn (0.657, 0.657, 0.500)

Output
As for the mass density: 6.64 g/cm3. The space group is P6/mmm. The final energy is -2.363 eV per atom. Its crystal system is hexagonal.